# 1
{
  "formula": "Sm6Tl6Ga",
  "functional": "PBE",
  "state": "optimized geometry",
  "cell": [[6.591, -0.002, 0.000], [-3.296, 5.707, 0.000], [0.000, 0.000, 10.549]],
  "species": ["Tl", "Tl", "Tl", "Tl", "Tl", "Tl", "Sm", "Sm", "Sm", "Sm", "Sm", "Sm", "Ga"],
  "fractional_positions": [[0.500, 0.500, 0.749], [0.500, 0.500, 0.251], [0.000, 0.500, 0.251], [0.000, 0.500, 0.749], [0.500, 0.000, 0.749], [0.500, 0.000, 0.251], [0.000, 0.000, 0.295], [0.667, 0.333, 0.500], [0.667, 0.333, 0.000], [0.000, 0.000, 0.705], [0.333, 0.667, 0.500], [0.333, 0.667, 0.000], [0.000, 0.000, 0.000]],
  "volume_a3_per_cell": 396.8,
  "delta_e_f_mev_per_atom": -197.8,
  "sg": "P6/mmm (191)",
  "m_tot_mub_per_cell": 0.00
}



# 2
{
  "formula": "Sm4Tl3Ga",
  "functional": "PBE",
  "state": "optimized geometry",
  "cell": [[4.597, 0.000, 0.000], [0.000, 4.392, 0.000], [0.000, 0.000, 11.629]],
  "species": ["Sm", "Sm", "Sm", "Sm", "Tl", "Tl", "Tl", "Ga"],
  "fractional_positions": [[0.000, 0.000, 0.134], [0.500, 0.000, 0.638], [0.000, 0.500, 0.871], [0.500, 0.500, 0.352], [0.000, 0.000, 0.409], [0.000, 0.500, 0.593], [0.500, 0.000, 0.919], [0.500, 0.500, 0.084]],
  "de_polymorph_mev_per_atom": 39,
  "volume_a3_per_cell": 234.8,
  "delta_e_f_mev_per_atom": -387.1,
  "sg": "Pmm2 (25)",
  "m_tot_mub_per_cell": 0.00
}



Which formula does entry 2 have? Sm4Tl3Ga



What did the second record say?
{
  "formula": "Sm4Tl3Ga",
  "functional": "PBE",
  "state": "optimized geometry",
  "cell": [[4.597, 0.000, 0.000], [0.000, 4.392, 0.000], [0.000, 0.000, 11.629]],
  "species": ["Sm", "Sm", "Sm", "Sm", "Tl", "Tl", "Tl", "Ga"],
  "fractional_positions": [[0.000, 0.000, 0.134], [0.500, 0.000, 0.638], [0.000, 0.500, 0.871], [0.500, 0.500, 0.352], [0.000, 0.000, 0.409], [0.000, 0.500, 0.593], [0.500, 0.000, 0.919], [0.500, 0.500, 0.084]],
  "de_polymorph_mev_per_atom": 39,
  "volume_a3_per_cell": 234.8,
  "delta_e_f_mev_per_atom": -387.1,
  "sg": "Pmm2 (25)",
  "m_tot_mub_per_cell": 0.00
}